Entry 1:
Density functional theory data (PBE-GGA) for crystalline PmTl2Ir3O12 at its relaxed geometry.

abc: 6.650 6.650 6.650
angles: 67.63 67.63 67.63
Fractional coordinates of all 18 atoms:
Pm1 0.000 0.000 0.000
Tl1 0.389 0.389 0.389
Tl2 0.611 0.611 0.611
Ir1 0.000 0.000 0.500
Ir2 0.000 0.500 0.000
Ir3 0.500 0.000 0.000
O1 0.114 0.723 0.723
O2 0.141 0.141 0.585
O3 0.141 0.585 0.141
O4 0.277 0.277 0.886
O5 0.277 0.886 0.277
O6 0.415 0.859 0.859
O7 0.585 0.141 0.141
O8 0.723 0.114 0.723
O9 0.723 0.723 0.114
O10 0.859 0.415 0.859
O11 0.859 0.859 0.415
O12 0.886 0.277 0.277

The value obtained for the calculated total energy is -112.65 eV per formula unit. As for the crystal system: trigonal. Its space group is R-3m.

=====

Entry 2:
Density functional theory data (PBE-GGA) for crystalline Tb3Ce2UP6 at its relaxed geometry.

abc: 9.014 9.014 8.078
angles: 103.00 103.00 25.79
Fractional coordinates of all 12 atoms:
Tb1 0.000 0.000 0.000
Tb2 0.332 0.332 0.667
Tb3 0.668 0.668 0.333
Ce1 0.334 0.334 0.167
Ce2 0.666 0.666 0.833
U1 0.000 0.000 0.500
P1 0.164 0.164 0.580
P2 0.166 0.166 0.084
P3 0.499 0.499 0.743
P4 0.501 0.501 0.257
P5 0.834 0.834 0.916
P6 0.836 0.836 0.420

As for the crystal system: monoclinic. Its space group is C2/m. For the energy relative to the elements, the calculation gives -141.21 kJ/mol of atoms.

=====

Entry 3:
Density functional theory data (PBE-GGA) for crystalline SrCoOs2 at its relaxed geometry.

abc: 3.817 3.817 4.729
angles: 90.00 90.00 90.00
Fractional coordinates of all 4 atoms:
Sr1 0.000 0.000 0.000
Co1 0.500 0.500 0.000
Os1 0.000 0.500 0.500
Os2 0.500 0.000 0.500

As for the crystal system: tetragonal. The excess energy over the best structure of this formula in the dataset comes out at 869 meV/atom. Its space group is P4/mmm. For the energy relative to the elements, the calculation gives 109.60 kJ/mol of atoms.

=====

Entry 4:
Density functional theory data (PBE-GGA) for crystalline PuMnSi2 at its relaxed geometry.

abc: 2.961 2.961 6.838
angles: 90.00 90.00 90.00
Fractional coordinates of all 4 atoms:
Pu1 0.000 0.000 0.000
Mn1 0.000 0.000 0.500
Si1 0.500 0.500 0.314
Si2 0.500 0.500 0.686

The value obtained for the calculated total energy is -35.71 eV per formula unit. As for the crystal system: tetragonal. Its space group is P4/mmm.

=====

Entry 5:
Density functional theory data (PBE-GGA) for crystalline TiCuGe at its relaxed geometry.

abc: 4.124 4.124 2.972
angles: 90.00 90.00 120.00
Fractional coordinates of all 3 atoms:
Ti1 0.000 0.000 0.000
Cu1 0.333 0.667 0.500
Ge1 0.667 0.333 0.500

As for the crystal system: hexagonal. Its space group is P-6m2. For the energy relative to the elements, the calculation gives -35.70 kJ/mol of atoms.

=====

Entry 6:
Density functional theory data (PBE-GGA) for crystalline ErInAu4 at its relaxed geometry.

abc: 5.597 5.597 5.597
angles: 60.00 60.00 60.00
Fractional coordinates of all 6 atoms:
Er1 0.000 0.000 0.000
In1 0.750 0.750 0.750
Au1 0.375 0.375 0.375
Au2 0.375 0.375 0.875
Au3 0.375 0.875 0.375
Au4 0.875 0.375 0.375

As for the crystal system: cubic. The excess energy over the best structure of this formula in the dataset comes out at 103 meV/atom. Its space group is F-43m. For the energy relative to the elements, the calculation gives -40.65 kJ/mol of atoms.

=====

Asked for theoretical density across the records above, the calculation gives 9.08 7.06 12.70 9.84 6.98 14.33 Mg/m³ in order.